--- 1 ---
VASP calculation (PBE-GGA) on a geometry-optimized MgTe2WI structure.

Cell lengths 5.494, 5.494, 5.337 Å; angles 90.00, 90.00, 90.00 degrees
Space group P4/mmm (No. 123)
Inequivalent atoms, fractional coordinates:
Mg 0.000 0.000 0.000 [1 per cell]
Te 0.000 0.500 0.000 [2 per cell]
W 0.500 0.500 0.500 [1 per cell]
I 0.000 0.000 0.500 [1 per cell]



--- 2 ---
VASP calculation (PBE-GGA) on a geometry-optimized MgTe2WI structure.

Cell lengths 5.277, 5.277, 5.814 Å; angles 90.00, 90.00, 90.00 degrees
Space group P4/mmm (No. 123)
Inequivalent atoms, fractional coordinates:
Mg 0.000 0.000 0.000 [1 per cell]
Te 0.000 0.500 0.500 [2 per cell]
W 0.500 0.500 0.500 [1 per cell]
I 0.500 0.500 0.000 [1 per cell]



Which one is the most stable? From the structures above, 2.